No. 1
DFT (PBE) results for crystalline Ca2HSeS at its relaxed geometry.

a b c (Å): 4.2733 5.8390 4.1311
angles (deg): 90.00 90.00 90.00
Last column: nearest neighbours and their distance in Å.
Fractional positions:
Ca1 0.5000 0.0000 0.5000  2 S 2.92, 4 Se 2.97
Ca2 0.0000 0.5000 0.0000  2 H 2.14
H1 0.5000 0.5000 0.0000  2 S 2.07, 2 Ca 2.14
Se1 0.0000 0.0000 0.0000  6 Ca 2.92-2.97
S1 0.5000 0.5000 0.5000  2 H 2.07

Calculated values
Fermi-level density of states = 0.87 states/eV/cell
Energy above the lowest structure with this stoichiometry = 50 meV per atom
Symmetry = Pmmm

=====

No. 2
DFT (PBE) results for crystalline LiCdI at its relaxed geometry.

a b c (Å): 4.2893 4.2893 6.3254
angles (deg): 90.00 90.00 120.00
Last column: nearest neighbours and their distance in Å.
Fractional positions:
I1 0.6667 0.3333 0.2434  3 Li 2.73
Li1 0.0000 0.0000 0.0629  3 I 2.73
Cd1 0.3333 0.6667 0.6938  3 Li 3.40, 3 I 3.77

Calculated values
Formation energy from raw total energies = -0.544 eV per atom
Energy above the lowest structure with this stoichiometry = 109 meV per atom
Symmetry = P3m1

=====

No. 3
DFT (PBE) results for crystalline RbCdBr2 at its relaxed geometry.

a b c (Å): 5.6842 5.6842 5.6842
angles (deg): 60.00 60.00 60.00
Last column: nearest neighbours and their distance in Å.
Fractional positions:
Br1 0.2500 0.2500 0.2500  4 Cd 3.48, 4 Rb 3.48
Br2 0.7500 0.7500 0.7500  4 Cd 3.48, 4 Rb 3.48
Rb1 0.0000 0.0000 0.0000  8 Br 3.48
Cd1 0.5000 0.5000 0.5000  8 Br 3.48

Calculated values
Fermi-level density of states = 3.11 states/eV/cell
Formation energy from raw total energies = -0.872 eV per atom
Energy above the lowest structure with this stoichiometry = 102 meV per atom
Symmetry = Fm-3m

=====

No. 4
DFT (PBE) results for crystalline ZrTiCuIr at its relaxed geometry.

a b c (Å): 4.5360 4.5360 4.5360
angles (deg): 60.00 60.00 60.00
Last column: nearest neighbours and their distance in Å.
Fractional positions:
Ir1 0.0000 0.0000 0.0000  4 Zr 2.78, 4 Ti 2.78
Cu1 0.5000 0.5000 0.5000  4 Ti 2.78, 4 Zr 2.78
Zr1 0.7500 0.7500 0.7500  4 Cu 2.78, 4 Ir 2.78
Ti1 0.2500 0.2500 0.2500  4 Ir 2.78, 4 Cu 2.78

Calculated values
Fermi-level density of states = 2.68 states/eV/cell
Formation energy from the elements = -45.2 kJ/mol of atoms
Symmetry = F-43m

=====

No. 5
DFT (PBE) results for crystalline YSi2Rh3 at its relaxed geometry.

a b c (Å): 6.6239 6.6239 6.6239
angles (deg): 130.37 114.28 86.63
Last column: nearest neighbours and their distance in Å.
Fractional positions:
Y1 0.2500 0.5401 0.2901  6 Rh 3.09-3.13, 6 Si 3.17-3.30
Y2 0.7500 0.4599 0.7099  6 Rh 3.09-3.13, 6 Si 3.17-3.30
Si1 0.0785 0.8828 0.8044  6 Rh 2.41-2.46, 1 Si 2.65
Si2 0.9215 0.1172 0.1956  6 Rh 2.41-2.46, 1 Si 2.65
Si3 0.5785 0.7741 0.1956  6 Rh 2.41-2.46, 1 Si 2.65
Si4 0.4215 0.2259 0.8044  6 Rh 2.41-2.46, 1 Si 2.65
Rh1 0.7151 0.0000 0.7151  4 Si 2.41-2.44
Rh2 0.2151 0.5000 0.7151  4 Si 2.41-2.44
Rh3 0.2849 0.0000 0.2849  4 Si 2.41-2.44
Rh4 0.7849 0.5000 0.2849  4 Si 2.41-2.44
Rh5 0.0000 0.0000 0.5000  4 Si 2.46
Rh6 0.5000 0.0000 0.0000  4 Si 2.46

Calculated values
Fermi-level density of states = 3.22 states/eV/cell
Formation energy from raw total energies = -1.068 eV per atom
Energy above the lowest structure with this stoichiometry = 0 meV per atom
Symmetry = Imma

=====

No. 6
DFT (PBE) results for crystalline BaPr4Eu at its relaxed geometry.

a b c (Å): 7.1232 7.1232 7.1232
angles (deg): 60.00 60.00 60.00
Last column: nearest neighbours and their distance in Å.
Fractional positions:
Eu1 0.0000 0.0000 0.0000  12 Pr 4.17, 4 Ba 4.36
Pr1 0.6271 0.6271 0.1186  6 Pr 3.50-3.62
Pr2 0.6271 0.1186 0.6271  6 Pr 3.50-3.62
Pr3 0.6271 0.6271 0.6271  6 Pr 3.50-3.62
Pr4 0.1186 0.6271 0.6271  6 Pr 3.50-3.62
Ba1 0.2500 0.2500 0.2500  12 Pr 4.18, 4 Eu 4.36

Calculated values
Fermi-level density of states = 17.81 states/eV/cell
Formation energy from the elements = 21.0 kJ/mol of atoms
Symmetry = F-43m

=====

No. 7
DFT (PBE) results for crystalline AlCd2GeC at its relaxed geometry.

a b c (Å): 5.1879 5.0209 5.1879
angles (deg): 90.00 90.00 90.00
Last column: nearest neighbours and their distance in Å.
Fractional positions:
C1 0.5000 0.5000 0.5000  8 Cd 3.61, 4 Al 3.67
Ge1 0.0000 0.0000 0.0000  2 Al 2.51, 4 Cd 2.59
Al1 0.0000 0.5000 0.0000  2 Ge 2.51
Cd1 0.0000 0.0000 0.5000  2 Ge 2.59
Cd2 0.5000 0.0000 0.0000  2 Ge 2.59

Calculated values
Fermi-level density of states = 2.20 states/eV/cell
Formation energy from the elements = 159.1 kJ/mol of atoms
Symmetry = P4/mmm

=====

No. 8
DFT (PBE) results for crystalline RbBaCd2F8 at its relaxed geometry.

a b c (Å): 6.0744 6.0744 7.0107
angles (deg): 115.67 115.67 90.00
Last column: nearest neighbours and their distance in Å.
Fractional positions:
Rb1 0.0000 0.0000 0.0000  8 F 2.75-2.76
Ba1 0.7500 0.2500 0.5000  8 F 2.67
Cd1 0.5000 0.5000 0.0000  8 F 2.40-2.41
Cd2 0.2500 0.7500 0.5000  8 F 2.43
F1 0.8699 0.8367 0.2557  2 Cd 2.40-2.43, 1 F 2.54, 1 Ba 2.67
F2 0.3858 0.4190 0.2557  2 Cd 2.40-2.43, 1 F 2.54, 1 Ba 2.67
F3 0.5807 0.6143 0.7439  2 Cd 2.41-2.43, 1 F 2.54, 1 Ba 2.67
F4 0.1632 0.1296 0.7439  2 Cd 2.41-2.43, 1 F 2.54, 1 Ba 2.67
F5 0.8704 0.4193 0.2561  2 Cd 2.41-2.43, 1 F 2.54, 1 Ba 2.67
F6 0.3857 0.8368 0.2561  2 Cd 2.41-2.43, 1 F 2.54, 1 Ba 2.67
F7 0.1633 0.6142 0.7443  2 Cd 2.40-2.43, 1 F 2.54, 1 Ba 2.67
F8 0.5810 0.1301 0.7443  2 Cd 2.40-2.43, 1 F 2.54, 1 Ba 2.67

Calculated values
Fermi-level density of states = 14.59 states/eV/cell
Formation energy from raw total energies = -2.454 eV per atom
Symmetry = I-4m2

=====

No. 9
DFT (PBE) results for crystalline Sm4Cd2Ni at its relaxed geometry.

a b c (Å): 5.2132 5.2132 8.6820
angles (deg): 107.47 107.47 90.00
Last column: nearest neighbours and their distance in Å.
Fractional positions:
Ni1 0.0000 0.0000 0.0000  6 Sm 2.61-2.81
Sm1 0.8210 0.8210 0.6421  1 Ni 2.81, 1 Cd 3.07
Sm2 0.1790 0.1790 0.3579  1 Ni 2.81, 1 Cd 3.07
Sm3 0.0000 0.5000 0.0000  2 Ni 2.61
Sm4 0.5000 0.0000 0.0000  2 Ni 2.61
Cd1 0.6260 0.6260 0.2520  5 Sm 3.07-3.27
Cd2 0.3740 0.3740 0.7480  5 Sm 3.07-3.27

Calculated values
Fermi-level density of states = 9.48 states/eV/cell
Formation energy from the elements = -8.1 kJ/mol of atoms
Symmetry = I4/mmm

=====

No. 10
DFT (PBE) results for crystalline Ac6PmMg2 at its relaxed geometry.

a b c (Å): 4.1017 7.2969 12.8945
angles (deg): 74.28 80.85 73.68
Last column: nearest neighbours and their distance in Å.
Fractional positions:
Ac1 0.6743 0.5314 0.1201  2 Mg 3.54, 5 Ac 3.79-3.87, 2 Pm 3.86
Ac2 0.3257 0.4686 0.8799  2 Mg 3.54, 5 Ac 3.79-3.87, 2 Pm 3.86
Ac3 0.3143 0.7807 0.5907  2 Mg 3.67, 10 Ac 3.81-4.10
Ac4 0.9741 0.7186 0.3332  2 Mg 3.54, 3 Ac 3.85-3.87
Ac5 0.0259 0.2814 0.6668  2 Mg 3.54, 3 Ac 3.85-3.87
Ac6 0.6857 0.2193 0.4093  2 Mg 3.67, 10 Ac 3.81-4.10
Pm1 0.0000 0.0000 0.0000  4 Mg 3.41
Mg1 0.3499 0.1082 0.1920  2 Pm 3.41, 6 Ac 3.54-3.67
Mg2 0.6501 0.8918 0.8080  2 Pm 3.41, 6 Ac 3.54-3.67

Calculated values
Fermi-level density of states = 10.48 states/eV/cell
Formation energy from the elements = -0.5 kJ/mol of atoms
Symmetry = C2/m

=====

No. 11
DFT (PBE) results for crystalline Dy2TlO2 at its relaxed geometry.

a b c (Å): 3.8597 3.8597 7.5576
angles (deg): 104.79 104.79 90.00
Last column: nearest neighbours and their distance in Å.
Fractional positions:
Dy1 0.6708 0.6708 0.3416  4 O 2.23
Dy2 0.3292 0.3292 0.6584  4 O 2.23
Tl1 0.0000 0.0000 0.0000  8 Dy 3.64, 4 Tl 3.86, 8 O 4.02
O1 0.7500 0.2500 0.5000  4 Dy 2.23
O2 0.2500 0.7500 0.5000  4 Dy 2.23

Calculated values
Fermi-level density of states = 3.20 states/eV/cell
Formation energy from raw total energies = -2.457 eV per atom
Symmetry = I4/mmm

=====

No. 12
DFT (PBE) results for crystalline SrCr3Pd at its relaxed geometry.

a b c (Å): 4.9863 4.9863 4.9863
angles (deg): 90.00 90.00 90.00
Last column: nearest neighbours and their distance in Å.
Fractional positions:
Sr1 0.0000 0.0000 0.0000  6 Cr 2.49
Pd1 0.5000 0.5000 0.5000  12 Cr 3.53
Cr1 0.0000 0.5000 0.0000  2 Sr 2.49
Cr2 0.0000 0.0000 0.5000  2 Sr 2.49
Cr3 0.5000 0.0000 0.0000  2 Sr 2.49

Calculated values
Fermi-level density of states = 4.02 states/eV/cell
Formation energy from the elements = 234.0 kJ/mol of atoms
Energy above the lowest structure with this stoichiometry = 1532 meV per atom
Symmetry = Pm-3m